[1]
This record from Alexandria via LeMat-Bulk describes SrP2Rh after structural relaxation. The functional is PBE.

Unit cell a=4.046 b=4.046 c=9.174 alpha=90.00 beta=90.00 gamma=90.00
Space group I-4m2 (No. 119)
Unique sites:
Sr1 0.000 0.000 0.000 (multiplicity 2)
P1 0.000 0.000 0.500 (multiplicity 2)
P2 0.000 0.500 0.750 (multiplicity 2)
Rh1 0.000 0.500 0.250 (multiplicity 2)

## Properties
ΔE_f   0.05 eV per atom
DOS at the Fermi energy   2.669 states/eV/f.u.

---

[2]
This record from Alexandria via LeMat-Bulk describes Sr2P6Rh7 after structural relaxation. The functional is PBE.

Unit cell a=11.190 b=11.190 c=4.134 alpha=90.00 beta=90.00 gamma=90.00
Space group P-42_1m (No. 113)
Unique sites:
Sr1 0.162 0.338 0.251 (multiplicity 4)
P1 0.072 0.572 0.734 (multiplicity 4)
P2 0.111 0.858 0.224 (multiplicity 8)
Rh1 0.000 0.000 0.500 (multiplicity 2)
Rh2 0.037 0.776 0.745 (multiplicity 8)
Rh3 0.153 0.653 0.237 (multiplicity 4)

## Properties
ΔE_f   -0.90 eV per atom
DOS at the Fermi energy   7.685 states/eV/f.u.

---

[3]
This record from Alexandria via LeMat-Bulk describes SrP2Rh5 after structural relaxation. The functional is PBE.

Unit cell a=3.928 b=6.791 c=9.697 alpha=90.00 beta=90.00 gamma=90.00
Space group Immm (No. 71)
Unique sites:
Sr1 0.000 0.000 0.000 (multiplicity 2)
P1 0.000 0.500 0.235 (multiplicity 4)
Rh1 0.000 0.199 0.345 (multiplicity 8)
Rh2 0.000 0.500 0.000 (multiplicity 2)

## Properties
ΔE_f   -0.70 eV per atom
DOS at the Fermi energy   3.915 states/eV/f.u.

---

[4]
This record from Alexandria via LeMat-Bulk describes SrTePRh2 after structural relaxation. The functional is PBE.

Unit cell a=4.999 b=4.999 c=5.337 alpha=90.00 beta=90.00 gamma=90.00
Space group P4/mmm (No. 123)
Unique sites:
Sr1 0.000 0.000 0.000 (multiplicity 1)
Te1 0.500 0.500 0.500 (multiplicity 1)
P1 0.000 0.000 0.500 (multiplicity 1)
Rh1 0.000 0.500 0.000 (multiplicity 2)

## Properties
E_form (uncorrected)   1.5056 eV/atom
DOS at the Fermi energy   10.531 states/eV/f.u.